Computed, not measured: TmMgScAg after structural relaxation at the PBE-GGA level of DFT.

abc: 5.070 5.070 5.070
angles: 60.00 60.00 60.00
Fractional coordinates of all 4 atoms:
Tm (0.000, 0.000, 0.000)
Mg (0.750, 0.750, 0.750)
Sc (0.500, 0.500, 0.500)
Ag (0.250, 0.250, 0.250)

total magnetic moment	0.00	μB per formula unit
formation energy from the elements	-2.8	kcal/mol of atoms
DOS(E_F)	4.67	states/eV/f.u.
SG	F-43m, No. 216
energy above the lowest structure with this stoichiometry	0.10	eV per formula unit


Computed, not measured: YMgScAg after structural relaxation at the PBE-GGA level of DFT.

abc: 3.637 3.637 7.128
angles: 90.00 90.00 90.00
Fractional coordinates of all 4 atoms:
Y (0.000, 0.000, 0.000)
Mg (0.500, 0.500, 0.719)
Sc (0.000, 0.000, 0.480)
Ag (0.500, 0.500, 0.263)

total magnetic moment	0.00	μB per formula unit
formation energy from the elements	-4.0	kcal/mol of atoms
DOS(E_F)	3.93	states/eV/f.u.
SG	P4mm, No. 99
energy above the lowest structure with this stoichiometry	0.00	eV per formula unit